1.
FeSbAs: optimized geometry, PBE-GGA.

offset from the most stable computed form	0	meV/atom
space-group type	P2_1/c, No. 14
formation energy (no corrections)	-132	meV/atom

abc: 6.291 6.252 6.354
angles: 90.00 119.76 90.00
Fractional positions:
Fe (0.217, 0.010, 0.498)
Fe (0.217, 0.490, 0.998)
Fe (0.783, 0.510, 0.002)
Fe (0.783, 0.990, 0.502)
Sb (0.343, 0.636, 0.692)
Sb (0.343, 0.864, 0.192)
Sb (0.657, 0.136, 0.808)
Sb (0.657, 0.364, 0.308)
As (0.152, 0.144, 0.810)
As (0.152, 0.356, 0.310)
As (0.848, 0.644, 0.690)
As (0.848, 0.856, 0.190)


2.
TbGeRh4: optimized geometry, PBE-GGA.

space-group type	Pmma, No. 51

abc: 7.534 3.906 6.812
angles: 90.00 90.00 90.00
Fractional positions:
Tb (0.250, 0.000, 0.147)
Tb (0.750, 0.000, 0.853)
Ge (0.250, 0.000, 0.723)
Ge (0.750, 0.000, 0.277)
Rh (0.000, 0.000, 0.500)
Rh (0.051, 0.500, 0.806)
Rh (0.250, 0.500, 0.449)
Rh (0.449, 0.500, 0.806)
Rh (0.500, 0.000, 0.500)
Rh (0.551, 0.500, 0.194)
Rh (0.750, 0.500, 0.551)
Rh (0.949, 0.500, 0.194)


3.
K4CaBr6: optimized geometry, PBE-GGA.

space-group type	R-3c, No. 167
formation energy (no corrections)	-1826	meV/atom

abc: 9.249 9.249 9.249
angles: 90.03 90.03 90.03
Fractional positions:
K (0.126, 0.750, 0.374)
K (0.250, 0.250, 0.250)
K (0.250, 0.626, 0.874)
K (0.374, 0.126, 0.750)
K (0.626, 0.874, 0.250)
K (0.750, 0.374, 0.126)
K (0.750, 0.750, 0.750)
K (0.874, 0.250, 0.626)
Ca (0.000, 0.000, 0.000)
Ca (0.500, 0.500, 0.500)
Br (0.056, 0.928, 0.700)
Br (0.072, 0.300, 0.944)
Br (0.200, 0.428, 0.556)
Br (0.300, 0.944, 0.072)
Br (0.428, 0.556, 0.200)
Br (0.444, 0.800, 0.572)
Br (0.556, 0.200, 0.428)
Br (0.572, 0.444, 0.800)
Br (0.700, 0.056, 0.928)
Br (0.800, 0.572, 0.444)
Br (0.928, 0.700, 0.056)
Br (0.944, 0.072, 0.300)


4.
ZrOs2Rh: optimized geometry, PBE-GGA.

offset from the most stable computed form	0	meV/atom
space-group type	P4/mmm, No. 123

abc: 3.918 3.918 4.120
angles: 90.00 90.00 90.00
Fractional positions:
Zr (0.000, 0.000, 0.000)
Os (0.000, 0.500, 0.500)
Os (0.500, 0.000, 0.500)
Rh (0.500, 0.500, 0.000)


5.
ThHI: optimized geometry, PBE-GGA.

space-group type	Pnma, No. 62

abc: 7.979 3.666 10.526
angles: 90.00 90.00 90.00
Fractional positions:
Th (0.090, 0.250, 0.136)
Th (0.410, 0.750, 0.636)
Th (0.590, 0.250, 0.364)
Th (0.910, 0.750, 0.864)
H (0.023, 0.250, 0.764)
H (0.477, 0.750, 0.264)
H (0.523, 0.250, 0.736)
H (0.977, 0.750, 0.236)
I (0.206, 0.250, 0.440)
I (0.294, 0.750, 0.940)
I (0.706, 0.250, 0.060)
I (0.794, 0.750, 0.560)


6.
ThScOsRh: optimized geometry, PBE-GGA.

space-group type	F-43m, No. 216

abc: 4.830 4.830 4.830
angles: 60.00 60.00 60.00
Fractional positions:
Th (0.000, 0.000, 0.000)
Sc (0.500, 0.500, 0.500)
Os (0.750, 0.750, 0.750)
Rh (0.250, 0.250, 0.250)


7.
ScSi2Os: optimized geometry, PBE-GGA.

space-group type	R-3m, No. 166
formation energy (no corrections)	-124	meV/atom

abc: 8.313 8.313 8.313
angles: 20.95 20.95 20.95
Fractional positions:
Sc (0.000, 0.000, 0.000)
Si (0.240, 0.240, 0.240)
Si (0.760, 0.760, 0.760)
Os (0.500, 0.500, 0.500)


8.
Sc3CdN: optimized geometry, PBE-GGA.

space-group type	Immm, No. 71
formation energy (no corrections)	-726	meV/atom

abc: 8.191 8.191 8.191
angles: 157.69 106.03 78.38
Fractional positions:
Sc (0.166, 0.166, 0.000)
Sc (0.198, 0.850, 0.348)
Sc (0.498, 0.150, 0.348)
Sc (0.502, 0.850, 0.652)
Sc (0.802, 0.150, 0.652)
Sc (0.834, 0.834, 0.000)
Cd (0.158, 0.500, 0.658)
Cd (0.842, 0.500, 0.342)
N (0.336, 0.336, 0.000)
N (0.664, 0.664, 0.000)


Spin magnetization readings, ordered: 1.0, 0.0, 0.0, 0.0, 0.0, 0.0, 0.0, 0.0 μB/f.u.
Total energy readings, ordered: -5.876, -6.925, -3.319, -9.802, -4.515, -8.660, -7.225, -6.373 eV/atom